# KZr2As

A PBEsol-optimized structure of KZr2As (SCAN, the Alexandria database).

Cell: 6.256 6.256 6.256 Å, 148.31 128.49 61.75°
Atoms (fractional coordinates):
K  0.000  0.000  0.000
Zr  0.310  0.810  0.500
Zr  0.690  0.190  0.500
As  0.500  0.500  0.000

Calculated values
**DFT formation energy**: -0.018 eV/atom
**Total moment**: 0.0 μB per cell
**Calculated total energy**: -22.497 eV per atom
**Calculated volume**: 24.9 A^3/atom


# La10Si8O3

A PBEsol-optimized structure of La10Si8O3 (SCAN, the Alexandria database).

Cell: 10.824 10.824 4.631 Å, 90.00 90.00 120.00°
Atoms (fractional coordinates):
La  0.000  0.000  0.000
La  0.000  0.500  0.500
La  0.210  0.421  0.000
La  0.210  0.790  0.000
La  0.421  0.210  0.000
La  0.500  0.000  0.500
La  0.500  0.500  0.500
La  0.579  0.790  0.000
La  0.790  0.210  0.000
La  0.790  0.579  0.000
Si  0.000  0.218  0.500
Si  0.000  0.782  0.500
Si  0.218  0.000  0.500
Si  0.218  0.218  0.500
Si  0.333  0.667  0.500
Si  0.667  0.333  0.500
Si  0.782  0.000  0.500
Si  0.782  0.782  0.500
O  0.000  0.500  0.000
O  0.500  0.000  0.000
O  0.500  0.500  0.000

Calculated values
**Total moment**: 0.0 μB per cell
**Calculated total energy**: -26.712 eV per atom
**Raw formation energy**: -1.480 eV/atom
**Calculated volume**: 22.4 A^3/atom


# CaLa2SnO6

A PBEsol-optimized structure of CaLa2SnO6 (SCAN, the Alexandria database).

Cell: 5.821 5.821 5.821 Å, 61.38 61.38 61.38°
Atoms (fractional coordinates):
Ca  0.000  0.000  0.000
La  0.266  0.266  0.266
La  0.734  0.734  0.734
Sn  0.500  0.500  0.500
O  0.155  0.371  0.712
O  0.288  0.845  0.629
O  0.371  0.712  0.155
O  0.629  0.288  0.845
O  0.712  0.155  0.371
O  0.845  0.629  0.288

Calculated values
**Total moment**: 0.0 μB per cell
**Calculated total energy**: -20.025 eV per atom
**Raw formation energy**: -3.107 eV/atom
**Calculated volume**: 14.4 A^3/atom


# In2NiHg

A PBEsol-optimized structure of In2NiHg (SCAN, the Alexandria database).

Cell: 6.877 6.877 6.877 Å, 155.73 142.16 45.46°
Atoms (fractional coordinates):
In  0.178  0.178  0.000
In  0.822  0.822  0.000
Ni  0.000  0.500  0.500
Hg  0.500  0.000  0.500

Calculated values
**DFT formation energy**: 0.029 eV/atom
**Total moment**: 0.0 μB per cell
**Calculated total energy**: -37.749 eV per atom
**Calculated volume**: 20.4 A^3/atom


# ZrZn2Ag

A PBEsol-optimized structure of ZrZn2Ag (SCAN, the Alexandria database).

Cell: 4.526 4.526 4.526 Å, 60.00 60.00 60.00°
Atoms (fractional coordinates):
Zr  0.000  0.000  0.000
Zn  0.250  0.250  0.250
Zn  0.500  0.500  0.500
Ag  0.750  0.750  0.750

Calculated values
**DFT formation energy**: -0.183 eV/atom
**Total moment**: 0.0 μB per cell
**Calculated total energy**: -22.457 eV per atom
**Calculated volume**: 16.4 A^3/atom


# CuRe2Os

A PBEsol-optimized structure of CuRe2Os (SCAN, the Alexandria database).

Cell: 4.765 4.765 4.765 Å, 134.05 134.05 67.01°
Atoms (fractional coordinates):
Cu  0.000  0.000  0.000
Re  0.250  0.750  0.500
Re  0.750  0.250  0.500
Os  0.500  0.500  0.000

Calculated values
**DFT formation energy**: 0.312 eV/atom
**Total moment**: 0.0 μB per cell
**Calculated total energy**: -57.006 eV per atom
**Calculated volume**: 13.7 A^3/atom